(1)
MgCrNi: optimized geometry, PBE-GGA.

```
MgCrNi
1.0
2.8264 -0.0048 0.0007
-1.4059 4.7957 0.0407
0.0004 1.4738 6.3734
Cr Ni Mg
2 2 2
Cartesian
-0.0438 1.0806 1.7260 Cr
-0.0367 4.9927 3.1256 Cr
1.3759 3.1474 2.1115 Ni
1.3746 3.2080 6.2402 Ni
-0.0351 5.3842 6.3404 Mg
-0.0398 2.4308 4.2384 Mg
```

Values from the calculation:
Magnetic moment: 0.001 μB/atom
Calculated formation energy: 5.35 kcal/mol of atoms
Raw total energy: -32.606 eV per cell
Symmetry: Cm, No. 8
D(E_F): 0.984 states/eV per atom

---

(2)
MgCrNi: optimized geometry, PBE-GGA.

```
MgCrNi
1.0
-0.7107 -1.3600 -2.1160
0.9691 -3.8562 2.0926
-7.1942 -1.6999 0.2650
Ni Mg Cr
2 2 2
Cartesian
-0.3957 -1.2196 -0.9651 Ni
-3.5070 -3.3396 1.3972 Ni
-4.8894 -2.1203 -0.5097 Mg
-6.0953 -4.1323 1.1658 Mg
-2.1555 -2.9020 -0.5991 Cr
-1.8612 -4.9330 -0.0844 Cr
```

Values from the calculation:
Magnetic moment: 0.000 μB/atom
Calculated formation energy: 3.32 kcal/mol of atoms
Raw total energy: -33.134 eV per cell
Symmetry: P1, No. 1
D(E_F): 0.784 states/eV per atom

---

(3)
MgCrNi3: optimized geometry, PBE-GGA.

```
MgCrNi3
1.0
-1.6300 3.1105 2.4548
-2.9922 -2.7064 1.4425
2.5977 -1.1656 3.2018
Mg Ni Cr
1 3 1
Cartesian
-1.0122 -0.3807 3.5496 Mg
-0.8150 1.5553 1.2274 Ni
-1.4961 -1.3532 0.7212 Ni
1.2989 -0.5828 1.6009 Ni
0.0000 0.0000 0.0000 Cr
```

Values from the calculation:
Magnetic moment: 0.000 μB/atom
Calculated formation energy: 18.01 kcal/mol of atoms
Raw total energy: -24.658 eV per cell
Symmetry: Pm-3m, No. 221
D(E_F): 1.252 states/eV per atom

---

(4)
Mg2Cr2Ni: optimized geometry, PBE-GGA.

```
Mg2Cr2Ni
1.0
3.1480 0.0000 0.0000
0.0000 3.1480 0.0000
1.5740 1.5740 7.9361
Cr Mg Ni
2 2 1
Cartesian
1.5740 3.1480 3.9681 Cr
3.1480 1.5740 3.9681 Cr
1.5740 1.5740 1.5040 Mg
3.1480 3.1480 6.4321 Mg
0.0000 0.0000 0.0000 Ni
```

Values from the calculation:
Magnetic moment: 0.000 μB/atom
Calculated formation energy: 10.37 kcal/mol of atoms
Raw total energy: -25.969 eV per cell
Symmetry: I4/mmm, No. 139
D(E_F): 0.831 states/eV per atom

---

(5)
MgCrNi: optimized geometry, PBE-GGA.

```
MgCrNi
1.0
3.4678 0.0000 0.0000
0.0000 3.4678 0.0000
0.0000 0.0000 7.0826
Mg Cr Ni
2 2 2
Cartesian
1.7339 0.0000 0.9973 Mg
0.0000 1.7339 6.0853 Mg
0.0000 0.0000 3.5413 Cr
1.7339 1.7339 3.5413 Cr
0.0000 1.7339 1.7993 Ni
1.7339 0.0000 5.2833 Ni
```

Values from the calculation:
Magnetic moment: 0.000 μB/atom
Calculated formation energy: 5.11 kcal/mol of atoms
Raw total energy: -32.668 eV per cell
Symmetry: P4/nmm, No. 129
D(E_F): 1.427 states/eV per atom

---

(6)
Mg3CrNi: optimized geometry, PBE-GGA.

```
Mg3CrNi
1.0
5.0306 0.0000 0.0000
0.0000 5.0306 0.0000
0.0000 0.0000 5.0306
Cr Mg Ni
1 3 1
Cartesian
0.0000 0.0000 0.0000 Cr
0.0000 2.5153 0.0000 Mg
0.0000 0.0000 2.5153 Mg
2.5153 0.0000 0.0000 Mg
2.5153 2.5153 2.5153 Ni
```

Values from the calculation:
Magnetic moment: 1.041 μB/atom
Calculated formation energy: 27.06 kcal/mol of atoms
Raw total energy: -14.320 eV per cell
Symmetry: Pm-3m, No. 221
D(E_F): 1.185 states/eV per atom

---

(7)
MgCrNi: optimized geometry, PBE-GGA.

```
MgCrNi
1.0
4.3556 -0.0336 -0.0353
-0.2420 5.5783 -0.0303
1.3854 2.2693 3.4753
Mg Cr Ni
2 2 2
Cartesian
1.6553 3.5278 2.0984 Mg
3.6032 5.2779 2.6530 Mg
1.5243 0.9049 1.2961 Cr
2.5914 0.0536 0.0108 Cr
3.8084 2.1458 1.0520 Ni
0.0647 4.3914 0.2244 Ni
```

Values from the calculation:
Magnetic moment: 0.000 μB/atom
Calculated formation energy: 6.04 kcal/mol of atoms
Raw total energy: -32.427 eV per cell
Symmetry: P-1, No. 2
D(E_F): 0.684 states/eV per atom

---

(8)
MgCrNi: optimized geometry, PBE-GGA.

```
MgCrNi
1.0
2.6392 0.0224 0.0007
1.0271 4.6021 -0.0073
-2.4118 -2.1895 6.7017
Ni Cr Mg
2 2 2
Cartesian
-0.3868 0.3274 3.6110 Ni
2.1788 0.5506 0.2097 Ni
0.9975 1.7621 1.9914 Cr
1.8211 3.7174 1.8220 Cr
0.8820 0.5399 6.0550 Mg
-0.4736 2.7508 4.4599 Mg
```

Values from the calculation:
Magnetic moment: 0.000 μB/atom
Calculated formation energy: 3.31 kcal/mol of atoms
Raw total energy: -33.138 eV per cell
Symmetry: P-1, No. 2
D(E_F): 0.747 states/eV per atom

---

(9)
Mg2Cr2Ni: optimized geometry, PBE-GGA.

```
Mg2Cr2Ni
1.0
7.3578 0.0000 0.0000
0.0000 7.3578 0.0000
0.0000 0.0000 2.9485
Mg Cr Ni
4 4 2
Cartesian
5.1535 1.4745 0.0000 Mg
2.2044 5.8833 0.0000 Mg
5.8833 5.1535 0.0000 Mg
1.4745 2.2044 0.0000 Mg
4.3383 6.6984 1.4743 Cr
3.0195 0.6594 1.4743 Cr
6.6984 3.0195 1.4743 Cr
0.6594 4.3383 1.4743 Cr
0.0000 0.0000 0.0000 Ni
3.6789 3.6789 0.0000 Ni
```

Values from the calculation:
Magnetic moment: 0.166 μB/atom
Calculated formation energy: 16.35 kcal/mol of atoms
Raw total energy: -49.345 eV per cell
Symmetry: P4/mbm, No. 127
D(E_F): 0.743 states/eV per atom

---

(10)
MgCrNi: optimized geometry, PBE-GGA.

```
MgCrNi
1.0
-5.1410 1.0469 0.7384
-0.9448 -3.9040 -1.0428
0.6421 -2.1722 7.5508
Cr Mg Ni
4 4 4
Cartesian
-4.6054 -1.6792 6.3308 Cr
-0.8383 -3.3501 0.9156 Cr
-3.3699 -2.9583 1.7426 Cr
-2.0738 -2.0710 5.5038 Cr
-1.2020 -3.9943 3.6571 Mg
-4.2417 -1.0350 3.5893 Mg
-1.9004 -0.7832 0.5251 Mg
-3.5433 -4.2461 6.7212 Mg
-1.7007 -1.4960 3.0130 Ni
-4.4649 -0.3174 1.1048 Ni
-3.7430 -3.5333 4.2333 Ni
-0.9788 -4.7119 6.1416 Ni
```

Values from the calculation:
Magnetic moment: 1.119 μB/atom
Calculated formation energy: 5.80 kcal/mol of atoms
Raw total energy: -64.977 eV per cell
Symmetry: Pnma, No. 62
D(E_F): 1.099 states/eV per atom

---

(11)
MgCrNi: optimized geometry, PBE-GGA.

```
MgCrNi
1.0
-2.1875 0.8339 1.8975
1.9509 -1.9526 3.1072
2.2671 6.0206 2.3591
Mg Ni Cr
2 2 2
Cartesian
3.0414 4.7049 3.7065 Mg
3.0036 2.0407 4.8363 Mg
3.0815 4.4106 6.2759 Ni
0.7771 3.1707 4.1648 Ni
0.8961 1.1286 2.8071 Cr
0.6952 0.4310 5.2741 Cr
```

Values from the calculation:
Magnetic moment: 0.000 μB/atom
Calculated formation energy: 1.57 kcal/mol of atoms
Raw total energy: -33.591 eV per cell
Symmetry: Cmcm, No. 63
D(E_F): 0.951 states/eV per atom

---

(12)
Mg14CrNi: optimized geometry, PBE-GGA.

```
Mg14CrNi
1.0
4.9695 3.5464 1.1552
-5.5172 1.5188 2.4208
2.0466 -5.5143 8.1243
Mg Cr Ni
14 1 1
Cartesian
-2.2179 -2.2710 8.2943 Mg
0.1463 -0.3586 8.7171 Mg
0.4501 3.9580 2.5731 Mg
0.7224 1.4398 0.7953 Mg
-0.5012 -0.4490 3.2069 Mg
-0.7813 2.1406 5.0351 Mg
-1.9974 2.1994 1.9960 Mg
3.0205 -1.2047 7.5863 Mg
3.2326 3.2105 1.3648 Mg
1.5855 1.2356 6.6306 Mg
2.0376 1.4437 3.6844 Mg
1.8606 -1.3083 4.8346 Mg
-3.2380 0.4773 4.2452 Mg
0.4263 -2.9481 6.8889 Mg
-1.0157 -0.5658 6.0631 Cr
4.1675 0.4363 5.4376 Ni
```

Values from the calculation:
Magnetic moment: 0.260 μB/atom
Calculated formation energy: 1.68 kcal/mol of atoms
Raw total energy: -36.566 eV per cell
Symmetry: Amm2, No. 38
D(E_F): 0.403 states/eV per atom